No. 1
Be2FeSiIr: relaxed, GGA-PBEsol.

Cell lengths 3.828, 3.828, 4.092 Å; angles 90.00, 90.00, 90.00 degrees
Element x y z (fractional)
Be: 0.000 0.500 0.000
Be: 0.500 0.000 0.000
Fe: 0.000 0.000 0.000
Si: 0.000 0.000 0.500
Ir: 0.500 0.500 0.500

Results
As for the uncorrected formation energy: 0.614 eV/atom.

=====

No. 2
Ce2SnHg: relaxed, GGA-PBEsol.

Cell lengths 7.527, 7.527, 7.527 Å; angles 90.00, 90.00, 90.00 degrees
Element x y z (fractional)
Ce: 0.250 0.250 0.250
Ce: 0.250 0.250 0.750
Ce: 0.250 0.750 0.250
Ce: 0.250 0.750 0.750
Ce: 0.750 0.250 0.250
Ce: 0.750 0.250 0.750
Ce: 0.750 0.750 0.250
Ce: 0.750 0.750 0.750
Sn: 0.000 0.000 0.000
Sn: 0.000 0.500 0.500
Sn: 0.500 0.000 0.500
Sn: 0.500 0.500 0.000
Hg: 0.000 0.000 0.500
Hg: 0.000 0.500 0.000
Hg: 0.500 0.000 0.000
Hg: 0.500 0.500 0.500

Results
The value obtained for the formation energy is -0.3996 eV per atom.

=====

No. 3
Mn2InSe: relaxed, GGA-PBEsol.

Cell lengths 6.533, 6.533, 6.533 Å; angles 90.00, 90.00, 90.00 degrees
Element x y z (fractional)
Mn: 0.000 0.000 0.000
Mn: 0.000 0.500 0.500
Mn: 0.250 0.250 0.250
Mn: 0.250 0.750 0.750
Mn: 0.500 0.000 0.500
Mn: 0.500 0.500 0.000
Mn: 0.750 0.250 0.750
Mn: 0.750 0.750 0.250
In: 0.250 0.250 0.750
In: 0.250 0.750 0.250
In: 0.750 0.250 0.250
In: 0.750 0.750 0.750
Se: 0.000 0.000 0.500
Se: 0.000 0.500 0.000
Se: 0.500 0.000 0.000
Se: 0.500 0.500 0.500

Results
As for the uncorrected formation energy: 0.603 eV/atom. The relative energy among the computed polymorphs is 0.380 eV/atom.

=====

No. 4
Be17Os3: relaxed, GGA-PBEsol.

Cell lengths 9.771, 9.771, 9.771 Å; angles 109.47, 109.47, 109.47 degrees
Element x y z (fractional)
Be: 0.000 0.000 0.327
Be: 0.000 0.000 0.673
Be: 0.000 0.327 0.000
Be: 0.000 0.403 0.403
Be: 0.000 0.597 0.597
Be: 0.000 0.673 0.000
Be: 0.053 0.649 0.404
Be: 0.087 0.226 0.542
Be: 0.087 0.545 0.861
Be: 0.093 0.233 0.326
Be: 0.093 0.767 0.860
Be: 0.139 0.684 0.226
Be: 0.139 0.913 0.455
Be: 0.140 0.907 0.233
Be: 0.198 0.500 0.698
Be: 0.226 0.139 0.684
Be: 0.226 0.542 0.087
Be: 0.233 0.140 0.907
Be: 0.233 0.326 0.093
Be: 0.245 0.649 0.596
Be: 0.302 0.802 0.500
Be: 0.316 0.455 0.542
Be: 0.316 0.774 0.861
Be: 0.326 0.093 0.233
Be: 0.327 0.000 0.000
Be: 0.327 0.327 0.327
Be: 0.351 0.404 0.755
Be: 0.351 0.596 0.947
Be: 0.403 0.000 0.403
Be: 0.403 0.403 0.000
Be: 0.404 0.053 0.649
Be: 0.404 0.755 0.351
Be: 0.455 0.139 0.913
Be: 0.455 0.542 0.316
Be: 0.458 0.684 0.545
Be: 0.458 0.913 0.774
Be: 0.500 0.302 0.802
Be: 0.500 0.698 0.198
Be: 0.542 0.087 0.226
Be: 0.542 0.316 0.455
Be: 0.545 0.458 0.684
Be: 0.545 0.861 0.087
Be: 0.596 0.245 0.649
Be: 0.596 0.947 0.351
Be: 0.597 0.000 0.597
Be: 0.597 0.597 0.000
Be: 0.649 0.404 0.053
Be: 0.649 0.596 0.245
Be: 0.673 0.000 0.000
Be: 0.673 0.673 0.673
Be: 0.674 0.907 0.767
Be: 0.684 0.226 0.139
Be: 0.684 0.545 0.458
Be: 0.698 0.198 0.500
Be: 0.755 0.351 0.404
Be: 0.767 0.674 0.907
Be: 0.767 0.860 0.093
Be: 0.774 0.458 0.913
Be: 0.774 0.861 0.316
Be: 0.802 0.500 0.302
Be: 0.860 0.093 0.767
Be: 0.861 0.087 0.545
Be: 0.861 0.316 0.774
Be: 0.907 0.233 0.140
Be: 0.907 0.767 0.674
Be: 0.913 0.455 0.139
Be: 0.913 0.774 0.458
Be: 0.947 0.351 0.596
Os: 0.114 0.301 0.812
Os: 0.188 0.489 0.301
Os: 0.188 0.886 0.699
Os: 0.301 0.188 0.489
Os: 0.301 0.812 0.114
Os: 0.489 0.301 0.188
Os: 0.511 0.699 0.812
Os: 0.699 0.188 0.886
Os: 0.699 0.812 0.511
Os: 0.812 0.114 0.301
Os: 0.812 0.511 0.699
Os: 0.886 0.699 0.188

Results
The value obtained for the formation energy is -0.2616 eV per atom.

=====

No. 5
KNiSe: relaxed, GGA-PBEsol.

Cell lengths 6.310, 6.310, 6.310 Å; angles 90.00, 90.00, 90.00 degrees
Element x y z (fractional)
K: 0.000 0.000 0.000
K: 0.000 0.500 0.500
K: 0.500 0.000 0.500
K: 0.500 0.500 0.000
Ni: 0.250 0.250 0.750
Ni: 0.250 0.750 0.250
Ni: 0.750 0.250 0.250
Ni: 0.750 0.750 0.750
Se: 0.000 0.000 0.500
Se: 0.000 0.500 0.000
Se: 0.500 0.000 0.000
Se: 0.500 0.500 0.500

Results
As for the uncorrected formation energy: 0.061 eV/atom.

=====

No. 6
HfNb2Si2: relaxed, GGA-PBEsol.

Cell lengths 6.827, 6.827, 3.466 Å; angles 90.00, 90.00, 90.00 degrees
Element x y z (fractional)
Hf: 0.000 0.000 0.000
Hf: 0.500 0.500 0.000
Nb: 0.171 0.329 0.500
Nb: 0.329 0.829 0.500
Nb: 0.671 0.171 0.500
Nb: 0.829 0.671 0.500
Si: 0.125 0.625 0.000
Si: 0.375 0.125 0.000
Si: 0.625 0.875 0.000
Si: 0.875 0.375 0.000

Results
As for the uncorrected formation energy: -0.812 eV/atom. The relative energy among the computed polymorphs is 0.000 eV/atom.

=====

No. 7
RhS2I: relaxed, GGA-PBEsol.

Cell lengths 3.662, 3.662, 22.103 Å; angles 90.00, 90.00, 120.00 degrees
Element x y z (fractional)
Rh: 0.000 0.000 0.000
Rh: 0.333 0.667 0.667
Rh: 0.667 0.333 0.333
S: 0.000 0.000 0.382
S: 0.000 0.000 0.618
S: 0.333 0.667 0.049
S: 0.333 0.667 0.284
S: 0.667 0.333 0.716
S: 0.667 0.333 0.951
I: 0.000 0.000 0.500
I: 0.333 0.667 0.167
I: 0.667 0.333 0.833

Results
As for the uncorrected formation energy: -0.305 eV/atom.

=====

No. 8
RbSrTl2: relaxed, GGA-PBEsol.

Cell lengths 8.258, 8.258, 8.258 Å; angles 90.00, 90.00, 90.00 degrees
Element x y z (fractional)
Rb: 0.000 0.000 0.000
Rb: 0.000 0.500 0.500
Rb: 0.500 0.000 0.500
Rb: 0.500 0.500 0.000
Sr: 0.000 0.000 0.500
Sr: 0.000 0.500 0.000
Sr: 0.500 0.000 0.000
Sr: 0.500 0.500 0.500
Tl: 0.250 0.250 0.250
Tl: 0.250 0.250 0.750
Tl: 0.250 0.750 0.250
Tl: 0.250 0.750 0.750
Tl: 0.750 0.250 0.250
Tl: 0.750 0.250 0.750
Tl: 0.750 0.750 0.250
Tl: 0.750 0.750 0.750

Results
The value obtained for the formation energy is -0.1423 eV per atom.

=====

No. 9
SrSc2CoO: relaxed, GGA-PBEsol.

Cell lengths 5.178, 5.178, 4.195 Å; angles 90.00, 90.00, 90.00 degrees
Element x y z (fractional)
Sr: 0.000 0.000 0.000
Sc: 0.000 0.500 0.000
Sc: 0.500 0.000 0.000
Co: 0.000 0.000 0.500
O: 0.500 0.500 0.500

Results
As for the uncorrected formation energy: 1.814 eV/atom.

=====

No. 10
Ba3Tb: relaxed, GGA-PBEsol.

Cell lengths 5.731, 5.731, 11.361 Å; angles 90.00, 90.00, 90.00 degrees
Element x y z (fractional)
Ba: 0.000 0.000 0.000
Ba: 0.000 0.500 0.250
Ba: 0.000 0.500 0.750
Ba: 0.500 0.000 0.250
Ba: 0.500 0.000 0.750
Ba: 0.500 0.500 0.500
Tb: 0.000 0.000 0.500
Tb: 0.500 0.500 0.000

Results
The value obtained for the formation energy is 0.2240 eV per atom.

=====

No. 11
LaAlZn2N: relaxed, GGA-PBEsol.

Cell lengths 4.382, 4.382, 6.124 Å; angles 90.00, 90.00, 90.00 degrees
Element x y z (fractional)
La: 0.000 0.000 0.000
Al: 0.000 0.000 0.500
Zn: 0.000 0.500 0.500
Zn: 0.500 0.000 0.500
N: 0.500 0.500 0.000

Results
As for the uncorrected formation energy: 0.852 eV/atom.

=====

No. 12
BaPbW3: relaxed, GGA-PBEsol.

Cell lengths 5.118, 5.118, 5.118 Å; angles 90.00, 90.00, 90.00 degrees
Element x y z (fractional)
Ba: 0.000 0.000 0.000
Pb: 0.500 0.500 0.500
W: 0.000 0.500 0.500
W: 0.500 0.000 0.500
W: 0.500 0.500 0.000

Results
The relative energy among the computed polymorphs is 0.000 eV/atom. The value obtained for the formation energy is 2.8094 eV per atom.

=====

No. 13
TlCuBr2: relaxed, GGA-PBEsol.

Cell lengths 4.014, 4.769, 11.851 Å; angles 90.00, 90.00, 90.00 degrees
Element x y z (fractional)
Tl: 0.000 0.000 0.000
Tl: 0.000 0.500 0.500
Cu: 0.500 0.000 0.385
Cu: 0.500 0.500 0.885
Br: 0.000 0.000 0.281
Br: 0.000 0.500 0.781
Br: 0.500 0.000 0.581
Br: 0.500 0.500 0.081

Results
As for the uncorrected formation energy: -0.457 eV/atom. The relative energy among the computed polymorphs is 0.015 eV/atom.

=====

No. 14
Be5Rh3: relaxed, GGA-PBEsol.

Cell lengths 5.621, 7.371, 3.816 Å; angles 90.00, 90.00, 90.00 degrees
Element x y z (fractional)
Be: 0.000 0.000 0.000
Be: 0.216 0.500 0.500
Be: 0.250 0.250 0.000
Be: 0.250 0.750 0.000
Be: 0.284 0.000 0.500
Be: 0.500 0.500 0.000
Be: 0.716 0.000 0.500
Be: 0.750 0.250 0.000
Be: 0.750 0.750 0.000
Be: 0.784 0.500 0.500
Rh: 0.000 0.221 0.500
Rh: 0.000 0.500 0.000
Rh: 0.000 0.779 0.500
Rh: 0.500 0.000 0.000
Rh: 0.500 0.279 0.500
Rh: 0.500 0.721 0.500

Results
The value obtained for the formation energy is -0.5922 eV per atom.

=====

No. 15
BaTlP3O9: relaxed, GGA-PBEsol.

Cell lengths 6.251, 11.210, 12.920 Å; angles 90.00, 90.00, 90.00 degrees
Element x y z (fractional)
Ba: 0.089 0.106 0.425
Ba: 0.411 0.894 0.925
Ba: 0.589 0.394 0.575
Ba: 0.911 0.606 0.075
Tl: 0.099 0.479 0.366
Tl: 0.401 0.521 0.866
Tl: 0.599 0.021 0.634
Tl: 0.901 0.979 0.134
P: 0.081 0.222 0.680
P: 0.090 0.594 0.636
P: 0.115 0.854 0.655
P: 0.385 0.146 0.155
P: 0.410 0.406 0.136
P: 0.419 0.778 0.180
P: 0.581 0.278 0.320
P: 0.590 0.906 0.364
P: 0.615 0.646 0.345
P: 0.885 0.354 0.845
P: 0.910 0.094 0.864
P: 0.919 0.722 0.820
O: 0.042 0.949 0.582
O: 0.049 0.023 0.935
O: 0.049 0.112 0.758
O: 0.075 0.333 0.759
O: 0.102 0.726 0.896
O: 0.106 0.729 0.593
O: 0.179 0.133 0.214
O: 0.191 0.452 0.161
O: 0.200 0.785 0.132
O: 0.300 0.215 0.632
O: 0.309 0.548 0.661
O: 0.321 0.867 0.714
O: 0.394 0.271 0.093
O: 0.398 0.274 0.396
O: 0.425 0.667 0.259
O: 0.451 0.888 0.258
O: 0.451 0.977 0.435
O: 0.458 0.051 0.082
O: 0.542 0.551 0.418
O: 0.549 0.388 0.242
O: 0.549 0.477 0.065
O: 0.575 0.167 0.241
O: 0.602 0.774 0.104
O: 0.606 0.771 0.407
O: 0.679 0.367 0.786
O: 0.691 0.048 0.839
O: 0.700 0.715 0.868
O: 0.800 0.285 0.368
O: 0.809 0.952 0.339
O: 0.821 0.633 0.286
O: 0.894 0.229 0.907
O: 0.898 0.226 0.604
O: 0.925 0.833 0.741
O: 0.951 0.523 0.565
O: 0.951 0.612 0.742
O: 0.958 0.449 0.918

Results
As for the uncorrected formation energy: -2.275 eV/atom.

=====

No. 16
Dy2Tl: relaxed, GGA-PBEsol.

Cell lengths 5.310, 5.310, 6.581 Å; angles 90.00, 90.00, 120.00 degrees
Element x y z (fractional)
Dy: 0.000 0.000 0.000
Dy: 0.000 0.000 0.500
Dy: 0.333 0.667 0.250
Dy: 0.667 0.333 0.750
Tl: 0.333 0.667 0.750
Tl: 0.667 0.333 0.250

Results
The value obtained for the formation energy is -0.3177 eV per atom.

=====

No. 17
AsAu3O: relaxed, GGA-PBEsol.

Cell lengths 4.805, 4.805, 4.805 Å; angles 90.00, 90.00, 90.00 degrees
Element x y z (fractional)
As: 0.000 0.000 0.000
Au: 0.000 0.000 0.500
Au: 0.000 0.500 0.000
Au: 0.500 0.000 0.000
O: 0.500 0.500 0.500

Results
As for the uncorrected formation energy: 0.955 eV/atom.

=====

No. 18
LiZrCrCd2: relaxed, GGA-PBEsol.

Cell lengths 4.527, 4.527, 4.785 Å; angles 90.00, 90.00, 90.00 degrees
Element x y z (fractional)
Li: 0.000 0.000 0.000
Zr: 0.000 0.000 0.500
Cr: 0.500 0.500 0.500
Cd: 0.000 0.500 0.000
Cd: 0.500 0.000 0.000

Results
The value obtained for the formation energy is 0.8024 eV per atom.

=====

No. 19
KLiP: relaxed, GGA-PBEsol.

Cell lengths 7.032, 7.032, 7.032 Å; angles 90.00, 90.00, 90.00 degrees
Element x y z (fractional)
K: 0.000 0.000 0.000
K: 0.000 0.500 0.500
K: 0.500 0.000 0.500
K: 0.500 0.500 0.000
Li: 0.250 0.250 0.750
Li: 0.250 0.750 0.250
Li: 0.750 0.250 0.250
Li: 0.750 0.750 0.750
P: 0.250 0.250 0.250
P: 0.250 0.750 0.750
P: 0.750 0.250 0.750
P: 0.750 0.750 0.250

Results
The value obtained for the formation energy is 0.4211 eV per atom.

=====

No. 20
Y2ZrRu: relaxed, GGA-PBEsol.

Cell lengths 3.452, 5.149, 10.316 Å; angles 90.00, 90.00, 90.00 degrees
Element x y z (fractional)
Y: 0.000 0.000 0.000
Y: 0.000 0.500 0.207
Y: 0.500 0.000 0.707
Y: 0.500 0.500 0.500
Zr: 0.000 0.500 0.799
Zr: 0.500 0.000 0.299
Ru: 0.000 0.000 0.486
Ru: 0.500 0.500 0.986

Results
The relative energy among the computed polymorphs is 0.000 eV/atom. The value obtained for the formation energy is -0.2146 eV per atom.

=====

Number 1: calculated volume 60.0 Å³ per cell. Number 2: calculated volume 426.4 Å³ per cell. Number 3: calculated volume 278.8 Å³ per cell. Number 4: calculated volume 718.1 Å³ per cell. Number 5: calculated volume 251.2 Å³ per cell. Number 6: calculated volume 161.5 Å³ per cell. Number 7: calculated volume 256.6 Å³ per cell. Number 8: calculated volume 563.2 Å³ per cell. Number 9: calculated volume 112.5 Å³ per cell. Number 10: calculated volume 373.1 Å³ per cell. Number 11: calculated volume 117.6 Å³ per cell. Number 12: calculated volume 134.1 Å³ per cell. Number 13: calculated volume 226.9 Å³ per cell. Number 14: calculated volume 158.1 Å³ per cell. Number 15: calculated volume 905.4 Å³ per cell. Number 16: calculated volume 160.7 Å³ per cell. Number 17: calculated volume 110.9 Å³ per cell. Number 18: calculated volume 98.0 Å³ per cell. Number 19: calculated volume 347.7 Å³ per cell. Number 20: calculated volume 183.4 Å³ per cell.